Entry from Alexandria via LeMat-Bulk: LiIn2Tc after structural relaxation (PBE).

E_form (eV/f.u.): 0.76
Relative energy among the computed polymorphs (meV/atom): 179.5
Theoretical density (Mg/m³): 7.38
Symmetry: No. 12
Crystal system: monoclinic
Uncorrected energy (eV per cell): -17.00

The structure in extended XYZ format:
```
4
Lattice="-3.369 3.315 -0.772 -2.324 2.528 -3.338 -4.406 -3.659 -0.670" Properties=species:S:1:pos:R:3 pbc="T T T"
In -5.049 1.033 -2.372
Tc -7.574 1.638 -3.585
Li -2.525 0.546 -1.195
In -4.406 -3.600 -0.688
```